No. 1
DFT (PBE) results for a geometry-optimized In2H5Cl4 structure.

```
In2H5Cl4
1.0
3.2455 -3.8648 0.0000
3.2455 3.8648 0.0000
-2.5473 0.0000 8.9136
In H Cl
2 5 4
direct
0.2480 0.2480 0.2118
0.7520 0.7520 0.7882
0.0000 0.0000 0.5000
0.1062 0.5344 0.1881
0.4656 0.8938 0.8119
0.5344 0.1062 0.1881
0.8938 0.4656 0.8119
0.1632 0.1632 0.8641
0.2385 0.2385 0.4957
0.7615 0.7615 0.5043
0.8368 0.8368 0.1359
```

- DOS at the Fermi energy: 0.284 states/eV per atom
- VASP energy: -2.88 eV/atom
- Symmetry: C2/m

No. 2
DFT (PBE) results for a geometry-optimized In3H4Cl structure.

```
In3H4Cl
1.0
9.4161 0.0000 0.0000
0.0000 3.7233 0.0000
-2.2329 0.0000 8.6528
In H Cl
6 8 2
direct
0.0000 0.0000 0.0000
0.2211 0.5000 0.7476
0.2789 0.0000 0.2524
0.5000 0.5000 0.0000
0.7211 0.0000 0.7476
0.7789 0.5000 0.2524
0.0983 0.5000 0.8858
0.2502 0.0000 0.7032
0.2498 0.5000 0.2968
0.4017 0.0000 0.1142
0.5983 0.0000 0.8858
0.7498 0.0000 0.2968
0.7502 0.5000 0.7032
0.9017 0.5000 0.1142
0.0000 0.5000 0.5000
0.5000 0.0000 0.5000
```

- DOS at the Fermi energy: 0.177 states/eV per atom
- VASP energy: -2.83 eV/atom
- Symmetry: C2/m

No. 3
DFT (PBE) results for a geometry-optimized InHCl2 structure.

```
InHCl2
1.0
6.6263 0.0000 0.0000
0.0000 5.3527 0.0000
-1.5693 0.0000 6.9612
In H Cl
2 2 4
direct
0.2360 0.2500 0.3501
0.7640 0.7500 0.6499
0.2955 0.7500 0.8585
0.7045 0.2500 0.1415
0.2740 0.7500 0.0418
0.3082 0.7500 0.5828
0.6918 0.2500 0.4172
0.7260 0.2500 0.9582
```

- DOS at the Fermi energy: 0.000 states/eV per atom
- VASP energy: -3.11 eV/atom
- Symmetry: P2_1/m

No. 4
DFT (PBE) results for a geometry-optimized In3HCl4 structure.

```
In3HCl4
1.0
8.7666 0.0000 0.0000
0.0000 10.6185 0.0000
0.0000 0.0000 5.8771
In H Cl
6 2 8
direct
0.0000 0.0954 0.0000
0.2147 0.6467 0.9953
0.2853 0.3533 0.4953
0.5000 0.9046 0.5000
0.7147 0.3533 0.4953
0.7853 0.6467 0.9953
0.0000 0.6686 0.0471
0.5000 0.3314 0.5471
0.0000 0.2724 0.5541
0.0000 0.9030 0.7274
0.2434 0.6008 0.5485
0.2566 0.3992 0.0485
0.5000 0.0970 0.2274
0.5000 0.7276 0.0541
0.7434 0.3992 0.0485
0.7566 0.6008 0.5485
```

- DOS at the Fermi energy: 0.051 states/eV per atom
- VASP energy: -3.00 eV/atom
- Symmetry: Pmn2_1

No. 5
DFT (PBE) results for a geometry-optimized InH3Cl structure.

```
InH3Cl
1.0
3.9284 0.0000 0.0000
0.0000 3.9284 0.0000
0.0000 0.0000 3.9284
In H Cl
1 3 1
direct
0.0000 0.0000 0.0000
0.0000 0.0000 0.5000
0.0000 0.5000 0.0000
0.5000 0.0000 0.0000
0.5000 0.5000 0.5000
```

- Offset from the most stable computed form: 0.0 kJ/mol of atoms
- DOS at the Fermi energy: 0.690 states/eV per atom
- Symmetry: Pm-3m

No. 6
DFT (PBE) results for a geometry-optimized In3H2Cl2 structure.

```
In3H2Cl2
1.0
5.7293 0.0000 0.0000
0.0000 4.4396 0.0000
-1.9406 0.0000 12.2518
In H Cl
6 4 4
direct
0.0000 0.0000 0.0000
0.1303 0.5000 0.3805
0.3697 0.0000 0.6195
0.5000 0.5000 0.0000
0.6303 0.0000 0.3805
0.8697 0.5000 0.6195
0.1819 0.5000 0.9597
0.3181 0.0000 0.0403
0.6819 0.0000 0.9597
0.8181 0.5000 0.0403
0.0526 0.0000 0.7758
0.4474 0.5000 0.2242
0.5526 0.5000 0.7758
0.9474 0.0000 0.2242
```

- DOS at the Fermi energy: 0.176 states/eV per atom
- VASP energy: -2.86 eV/atom
- Symmetry: C2/m

No. 7
DFT (PBE) results for a geometry-optimized InH3Cl structure.

```
InH3Cl
1.0
3.9501 0.0000 0.0000
0.0000 3.9501 0.0000
0.0000 0.0000 3.9501
In H Cl
1 3 1
direct
0.0000 0.0000 0.0000
0.0000 0.5000 0.5000
0.5000 0.0000 0.5000
0.5000 0.5000 0.0000
0.5000 0.5000 0.5000
```

- Offset from the most stable computed form: 42.6 kJ/mol of atoms
- DOS at the Fermi energy: 0.304 states/eV per atom
- Symmetry: Pm-3m

No. 8
DFT (PBE) results for a geometry-optimized KInHCl2 structure.

```
KInHCl2
1.0
5.6754 0.0000 0.0000
0.0000 5.6754 0.0000
0.0000 0.0000 3.9584
K In H Cl
1 1 1 2
direct
0.0000 0.0000 0.0000
0.5000 0.5000 0.5000
0.5000 0.5000 0.0000
0.0000 0.5000 0.5000
0.5000 0.0000 0.5000
```

- DOS at the Fermi energy: 0.178 states/eV per atom
- VASP energy: -3.17 eV/atom
- Symmetry: P4/mmm

No. 9
DFT (PBE) results for a geometry-optimized KInHCl structure.

```
KInHCl
1.0
7.3447 0.0000 0.0000
0.0000 7.3447 0.0000
0.0000 0.0000 7.3447
K In H Cl
4 4 4 4
direct
0.0000 0.0000 0.0000
0.0000 0.5000 0.5000
0.5000 0.0000 0.5000
0.5000 0.5000 0.0000
0.0000 0.0000 0.5000
0.0000 0.5000 0.0000
0.5000 0.0000 0.0000
0.5000 0.5000 0.5000
0.2500 0.2500 0.2500
0.2500 0.7500 0.7500
0.7500 0.2500 0.7500
0.7500 0.7500 0.2500
0.2500 0.2500 0.7500
0.2500 0.7500 0.2500
0.7500 0.2500 0.2500
0.7500 0.7500 0.7500
```

- DOS at the Fermi energy: 0.000 states/eV per atom
- VASP energy: -2.74 eV/atom
- Symmetry: F-43m

No. 10
DFT (PBE) results for a geometry-optimized InH9N3Cl3 structure.

```
InH9N3Cl3
1.0
6.1646 0.0000 0.0000
-0.7866 6.7681 0.0000
-0.1488 -0.4744 10.1659
In H N Cl
2 18 6 6
direct
0.0000 0.0000 0.0000
0.5000 0.5000 0.5000
0.0389 0.9465 0.7243
0.1065 0.6214 0.4028
0.2009 0.3943 0.0571
0.2048 0.1488 0.7682
0.2733 0.2506 0.1737
0.2777 0.8238 0.4411
0.2813 0.9248 0.7890
0.3018 0.6964 0.3020
0.3961 0.2503 0.0302
0.6039 0.7497 0.9698
0.6982 0.3036 0.6980
0.7187 0.0752 0.2110
0.7223 0.1762 0.5589
0.7267 0.7494 0.8263
0.7952 0.8512 0.2318
0.7991 0.6057 0.9429
0.8935 0.3786 0.5972
0.9611 0.0535 0.2757
0.1524 0.0069 0.7945
0.2469 0.2571 0.0738
0.2669 0.6824 0.4000
0.7331 0.3176 0.6000
0.7531 0.7429 0.9262
0.8476 0.9931 0.2055
0.2613 0.4885 0.7025
0.2682 0.7640 0.0722
0.2792 0.1803 0.4028
0.7208 0.8197 0.5972
0.7318 0.2360 0.9278
0.7387 0.5115 0.2975
```

- DOS at the Fermi energy: 0.000 states/eV per atom
- VASP energy: -4.62 eV/atom
- Symmetry: P-1

No. 11
DFT (PBE) results for a geometry-optimized InH4NCl4 structure.

```
InH4NCl4
1.0
-3.6510 3.6510 7.5617
3.6510 -3.6510 7.5617
3.6510 3.6510 -7.5617
In H N Cl
2 8 2 8
direct
0.3750 0.1250 0.2500
0.6250 0.8750 0.7500
0.0244 0.6290 0.3235
0.1290 0.3055 0.6045
0.1945 0.2990 0.8235
0.2010 0.5244 0.8955
0.7990 0.4756 0.1045
0.8055 0.7010 0.1765
0.8710 0.6945 0.3955
0.9756 0.3710 0.6765
0.1250 0.3750 0.7500
0.8750 0.6250 0.2500
0.1370 0.2695 0.3298
0.2305 0.0603 0.8675
0.3072 0.6370 0.3675
0.4397 0.8072 0.1702
0.5603 0.1928 0.8298
0.6928 0.3630 0.6325
0.7695 0.9397 0.1325
0.8630 0.7305 0.6702
```

- DOS at the Fermi energy: 0.000 states/eV per atom
- VASP energy: -4.02 eV/atom
- Symmetry: I4_1/a

No. 12
DFT (PBE) results for a geometry-optimized InHOsCl2 structure.

```
InHOsCl2
1.0
5.4725 0.0000 0.0000
0.0000 5.4725 0.0000
0.0000 0.0000 3.6177
In H Os Cl
1 1 1 2
direct
0.0000 0.0000 0.0000
0.0000 0.0000 0.5000
0.5000 0.5000 0.5000
0.0000 0.5000 0.0000
0.5000 0.0000 0.0000
```

- DOS at the Fermi energy: 0.482 states/eV per atom
- VASP energy: -3.26 eV/atom
- Symmetry: P4/mmm

No. 13
DFT (PBE) results for a geometry-optimized InP2HCl structure.

```
InP2HCl
1.0
5.1798 0.0000 0.0000
0.0000 5.1798 0.0000
0.0000 0.0000 5.3857
In P H Cl
1 2 1 1
direct
0.0000 0.0000 0.0000
0.0000 0.5000 0.0000
0.5000 0.0000 0.0000
0.5000 0.5000 0.5000
0.0000 0.0000 0.5000
```

- Offset from the most stable computed form: 63.8 kJ/mol of atoms
- DOS at the Fermi energy: 0.415 states/eV per atom
- Symmetry: P4/mmm

No. 14
DFT (PBE) results for a geometry-optimized InP2HCl structure.

```
InP2HCl
1.0
3.8152 0.0000 0.0000
0.0000 3.8152 0.0000
0.0000 0.0000 6.3705
In P H Cl
1 2 1 1
direct
0.0000 0.0000 0.0000
0.0000 0.5000 0.5000
0.5000 0.0000 0.5000
0.5000 0.5000 0.5000
0.5000 0.5000 0.0000
```

- Offset from the most stable computed form: 0.0 kJ/mol of atoms
- DOS at the Fermi energy: 0.636 states/eV per atom
- Symmetry: P4/mmm

No. 15
DFT (PBE) results for a geometry-optimized In2HPtCl structure.

```
In2HPtCl
1.0
5.3178 0.0000 0.0000
0.0000 5.3178 0.0000
0.0000 0.0000 3.6592
In H Pt Cl
2 1 1 1
direct
0.0000 0.5000 0.0000
0.5000 0.0000 0.0000
0.0000 0.0000 0.5000
0.0000 0.0000 0.0000
0.5000 0.5000 0.5000
```

- DOS at the Fermi energy: 0.316 states/eV per atom
- VASP energy: -3.79 eV/atom
- Symmetry: P4/mmm

No. 16
DFT (PBE) results for a geometry-optimized Rb2InHCl6 structure.

```
Rb2InHCl6
1.0
-4.0128 4.0128 4.5469
4.0128 -4.0128 4.5469
4.0128 4.0128 -4.5469
Rb In H Cl
2 1 1 6
direct
0.2500 0.7500 0.5000
0.7500 0.2500 0.5000
0.0000 0.0000 0.0000
0.5000 0.5000 0.0000
0.2170 0.2170 0.4340
0.2170 0.7830 0.0000
0.3264 0.3264 0.0000
0.6736 0.6736 0.0000
0.7830 0.2170 0.0000
0.7830 0.7830 0.5660
```

- Offset from the most stable computed form: 5.2 kJ/mol of atoms
- DOS at the Fermi energy: 0.000 states/eV per atom
- Symmetry: I4/mmm

No. 17
DFT (PBE) results for a geometry-optimized Rb2InHCl6 structure.

```
Rb2InHCl6
1.0
5.0305 -6.0430 0.0000
5.0305 6.0430 0.0000
-4.1941 0.0000 5.2944
Rb In H Cl
2 1 1 6
direct
0.2307 0.7693 0.0000
0.7693 0.2307 0.0000
0.4620 0.4620 0.4526
0.0819 0.0819 0.5962
0.1871 0.1871 0.3810
0.2335 0.6552 0.4456
0.4684 0.4684 0.0982
0.6552 0.2335 0.4456
0.7352 0.7352 0.8729
0.9836 0.9836 0.6613
```

- Offset from the most stable computed form: 0.0 kJ/mol of atoms
- DOS at the Fermi energy: 0.000 states/eV per atom
- Symmetry: Cm

No. 18
DFT (PBE) results for a geometry-optimized In2HRhCl structure.

```
In2HRhCl
1.0
5.3111 0.0000 0.0000
0.0000 5.3111 0.0000
0.0000 0.0000 3.5035
In H Rh Cl
2 1 1 1
direct
0.0000 0.5000 0.0000
0.5000 0.0000 0.0000
0.0000 0.0000 0.5000
0.0000 0.0000 0.0000
0.5000 0.5000 0.5000
```

- Offset from the most stable computed form: 0.0 kJ/mol of atoms
- DOS at the Fermi energy: 0.411 states/eV per atom
- Symmetry: P4/mmm

No. 19
DFT (PBE) results for a geometry-optimized In2HRhCl structure.

```
In2HRhCl
1.0
5.9505 0.0000 0.0000
0.0000 5.9505 0.0000
0.0000 0.0000 4.3457
In H Rh Cl
2 1 1 1
direct
0.0000 0.5000 0.0000
0.5000 0.0000 0.0000
0.0000 0.0000 0.5000
0.5000 0.5000 0.5000
0.5000 0.5000 0.0000
```

- Offset from the most stable computed form: 103.8 kJ/mol of atoms
- DOS at the Fermi energy: 1.007 states/eV per atom
- Symmetry: P4/mmm

No. 20
DFT (PBE) results for a geometry-optimized InHRh2Cl structure.

```
InHRh2Cl
1.0
5.1251 0.0000 0.0000
0.0000 5.1251 0.0000
0.0000 0.0000 3.5039
In H Rh Cl
1 1 2 1
direct
0.0000 0.0000 0.0000
0.0000 0.0000 0.5000
0.0000 0.5000 0.0000
0.5000 0.0000 0.0000
0.5000 0.5000 0.5000
```

- DOS at the Fermi energy: 1.512 states/eV per atom
- VASP energy: -3.59 eV/atom
- Symmetry: P4/mmm